No. 1
Material: Nb2CuO6
Method: DFT, SCAN
State: PBEsol geometry

Computed properties:
final energy	-139.64	eV per formula unit
magnetic moment	4.0	Bohr magnetons per cell

Lattice parameters (Å, degrees): 5.0112 14.2098 5.7753 90.00 92.44 90.00
Last column: nearest neighbours and their distance in Å.
Element x y z (fractional)
1 Nb 0.2343 0.1617 0.3471  3 O 1.83-1.96
2 Nb 0.2343 0.3383 0.8471  3 O 1.83-1.96
3 Nb 0.2572 0.6582 0.7934  4 O 1.87-2.02
4 Nb 0.2572 0.8418 0.2934  4 O 1.87-2.02
5 Nb 0.7428 0.1582 0.7066  4 O 1.87-2.02
6 Nb 0.7428 0.3418 0.2066  4 O 1.87-2.02
7 Nb 0.7657 0.6617 0.1529  3 O 1.83-1.96
8 Nb 0.7657 0.8383 0.6529  3 O 1.83-1.96
9 Cu 0.2523 0.0019 0.8470  4 O 1.91-1.98
10 Cu 0.2523 0.4981 0.3470  4 O 1.91-1.98
11 Cu 0.7477 0.5019 0.6530  4 O 1.91-1.98
12 Cu 0.7477 0.9981 0.1530  4 O 1.91-1.98
13 O 0.0538 0.0778 0.1567  1 Nb 1.83, 1 Cu 1.91
14 O 0.0538 0.4222 0.6567  1 Nb 1.83, 1 Cu 1.91
15 O 0.0730 0.0954 0.6433  2 Nb 1.93-2.14, 1 Cu 1.97
16 O 0.0730 0.4046 0.1433  2 Nb 1.93-2.14, 1 Cu 1.97
17 O 0.0946 0.7446 0.0837  2 Nb 1.99-2.08
18 O 0.0946 0.7554 0.5837  2 Nb 1.99-2.08
19 O 0.4072 0.2455 0.6509  2 Nb 1.96-2.10
20 O 0.4072 0.2545 0.1509  2 Nb 1.96-2.10
21 O 0.4273 0.5762 0.5937  1 Nb 1.87, 2 Cu 1.94-1.98
22 O 0.4273 0.9238 0.0937  1 Nb 1.87, 2 Cu 1.94-1.98
23 O 0.4406 0.5967 0.0728  2 Nb 1.91-2.02
24 O 0.4406 0.9033 0.5728  2 Nb 1.91-2.02
25 O 0.5594 0.0967 0.4272  2 Nb 1.91-2.02
26 O 0.5594 0.4033 0.9272  2 Nb 1.91-2.02
27 O 0.5727 0.0762 0.9063  1 Nb 1.87, 2 Cu 1.94-1.98
28 O 0.5727 0.4238 0.4063  1 Nb 1.87, 2 Cu 1.94-1.98
29 O 0.5928 0.7455 0.8491  2 Nb 1.96-2.10
30 O 0.5928 0.7545 0.3491  2 Nb 1.96-2.10
31 O 0.9054 0.2446 0.4163  2 Nb 1.99-2.08
32 O 0.9054 0.2554 0.9163  2 Nb 1.99-2.08
33 O 0.9270 0.5954 0.8567  2 Nb 1.93-2.14, 1 Cu 1.97
34 O 0.9270 0.9046 0.3567  2 Nb 1.93-2.14, 1 Cu 1.97
35 O 0.9462 0.5778 0.3433  1 Nb 1.83, 1 Cu 1.91
36 O 0.9462 0.9222 0.8433  1 Nb 1.83, 1 Cu 1.91

***

No. 2
Material: NbCu3P4O16
Method: DFT, SCAN
State: PBEsol geometry

Computed properties:
final energy	-267.79	eV per formula unit
magnetic moment	2.0	Bohr magnetons per cell

Lattice parameters (Å, degrees): 4.9717 5.9692 9.8984 90.00 92.50 90.00
Last column: nearest neighbours and their distance in Å.
Element x y z (fractional)
1 Nb 0.0000 0.0000 0.0000  6 O 1.89-2.11
2 Cu 0.1012 0.5000 0.5707  4 O 1.91-2.01
3 Cu 0.4143 0.5000 0.0893  4 O 1.86-1.98
4 Cu 0.6679 0.0000 0.4889  4 O 1.84-1.90
5 P 0.1472 0.0000 0.6732  4 O 1.52-1.63
6 P 0.4438 0.0000 0.1919  4 O 1.50-1.58
7 P 0.6068 0.5000 0.3936  4 O 1.52-1.57
8 P 0.9643 0.5000 0.8771  4 O 1.50-1.60
9 O 0.1851 0.0000 0.8376  1 P 1.63
10 O 0.2660 0.5000 0.9122  1 P 1.52
11 O 0.2761 0.1933 0.1180  1 P 1.58
12 O 0.2761 0.8067 0.1180  1 P 1.58
13 O 0.2846 0.2098 0.6223  1 P 1.52
14 O 0.2846 0.7902 0.6223  1 P 1.52
15 O 0.3037 0.5000 0.4114  1 P 1.52
16 O 0.4194 0.0000 0.3419  1 P 1.50
17 O 0.6507 0.5000 0.2399  1 P 1.55
18 O 0.7328 0.0000 0.1462  1 P 1.53
19 O 0.7701 0.3030 0.4631  1 P 1.57
20 O 0.7701 0.6970 0.4631  1 P 1.57
21 O 0.8325 0.2902 0.9493  1 P 1.60
22 O 0.8325 0.7098 0.9493  1 P 1.60
23 O 0.8381 0.0000 0.6581  1 P 1.54
24 O 0.8881 0.5000 0.7287  1 P 1.50

***

No. 3
Material: Ti3NbCu2P6O24
Method: DFT, SCAN
State: PBEsol geometry

Computed properties:
final energy	-414.69	eV per formula unit
magnetic moment	1.0	Bohr magnetons per cell

Lattice parameters (Å, degrees): 8.5511 8.5511 8.5511 60.83 60.83 60.83
Last column: nearest neighbours and their distance in Å.
Element x y z (fractional)
1 Ti 0.0000 0.0000 0.0000  6 O 1.91-2.00
2 Ti 0.2197 0.2197 0.2197  6 O 1.91-1.99
3 Ti 0.5004 0.5004 0.5004  6 O 1.92-2.00
4 Nb 0.7209 0.7209 0.7209  6 O 1.98-2.03
5 Cu 0.3590 0.3590 0.3590  6 O 2.25-2.26
6 Cu 0.8616 0.8616 0.8616  6 O 2.21-2.31
7 P 0.1172 0.8197 0.3924  4 O 1.53-1.56
8 P 0.3147 0.6092 0.9008  4 O 1.53-1.55
9 P 0.3924 0.1172 0.8197  4 O 1.53-1.56
10 P 0.6092 0.9008 0.3147  4 O 1.53-1.55
11 P 0.8197 0.3924 0.1172  4 O 1.53-1.56
12 P 0.9008 0.3147 0.6092  4 O 1.53-1.55
13 O 0.0496 0.8611 0.2358  1 P 1.53
14 O 0.0924 0.3000 0.4471  1 P 1.54
15 O 0.1254 0.7740 0.9152  1 P 1.54
16 O 0.1767 0.9809 0.3527  1 P 1.53
17 O 0.2358 0.0496 0.8611  1 P 1.53
18 O 0.2773 0.6270 0.4110  1 P 1.54
19 O 0.3000 0.4471 0.0924  1 P 1.54
20 O 0.3527 0.1767 0.9809  1 P 1.53
21 O 0.3609 0.5496 0.7369  1 P 1.53
22 O 0.4110 0.2773 0.6270  1 P 1.54
23 O 0.4471 0.0924 0.3000  1 P 1.54
24 O 0.4767 0.6711 0.8614  1 P 1.55
25 O 0.5496 0.7369 0.3609  1 P 1.53
26 O 0.5871 0.9535 0.8037  1 P 1.56
27 O 0.6270 0.4110 0.2773  1 P 1.54
28 O 0.6711 0.8614 0.4767  1 P 1.55
29 O 0.7369 0.3609 0.5496  1 P 1.53
30 O 0.7740 0.9152 0.1254  1 P 1.54
31 O 0.8037 0.5871 0.9535  1 P 1.56
32 O 0.8611 0.2358 0.0496  1 P 1.53
33 O 0.8614 0.4767 0.6711  1 P 1.55
34 O 0.9152 0.1254 0.7740  1 P 1.54
35 O 0.9535 0.8037 0.5871  1 P 1.56
36 O 0.9809 0.3527 0.1767  1 P 1.53

***

No. 4
Material: Ti3NbCu3O12
Method: DFT, SCAN
State: PBEsol geometry

Computed properties:
final energy	-245.04	eV per formula unit
magnetic moment	2.0	Bohr magnetons per cell

Lattice parameters (Å, degrees): 6.3975 6.3975 6.3975 109.67 109.67 109.67
Last column: nearest neighbours and their distance in Å.
Element x y z (fractional)
1 Ti 0.0000 0.5000 0.5000  6 O 1.96-1.98
2 Ti 0.5000 0.0000 0.5000  6 O 1.96-1.98
3 Ti 0.5000 0.5000 0.0000  6 O 1.96-1.98
4 Nb 0.0000 0.0000 0.0000  6 O 2.00
5 Cu 0.0000 0.0000 0.5000  4 O 1.89
6 Cu 0.0000 0.5000 0.0000  4 O 1.89
7 Cu 0.5000 0.0000 0.0000  4 O 1.89
8 O 0.0091 0.1875 0.3265  1 Cu 1.89, 1 Ti 1.96, 1 Nb 2.00
9 O 0.1858 0.6789 0.3646  1 Cu 1.89, 2 Ti 1.96-1.98
10 O 0.1875 0.3265 0.0091  1 Cu 1.89, 1 Ti 1.96, 1 Nb 2.00
11 O 0.3211 0.6354 0.8142  1 Cu 1.89, 2 Ti 1.96-1.98
12 O 0.3265 0.0091 0.1875  1 Cu 1.89, 1 Ti 1.96, 1 Nb 2.00
13 O 0.3646 0.1858 0.6789  1 Cu 1.89, 2 Ti 1.96-1.98
14 O 0.6354 0.8142 0.3211  1 Cu 1.89, 2 Ti 1.96-1.98
15 O 0.6735 0.9909 0.8125  1 Cu 1.89, 1 Ti 1.96, 1 Nb 2.00
16 O 0.6789 0.3646 0.1858  1 Cu 1.89, 2 Ti 1.96-1.98
17 O 0.8125 0.6735 0.9909  1 Cu 1.89, 1 Ti 1.96, 1 Nb 2.00
18 O 0.8142 0.3211 0.6354  1 Cu 1.89, 2 Ti 1.96-1.98
19 O 0.9909 0.8125 0.6735  1 Cu 1.89, 1 Ti 1.96, 1 Nb 2.00